Here is a relaxed structure of Na4TlBr5 from Alexandria via LeMat-Bulk. Energies are from PBE.

The structure in CIF format:
```
data_Na4TlBr5
_chemical_formula_sum 'Na8 Tl2 Br10'
_space_group_name_H-M_alt 'I m m m'
_space_group_IT_number 71
_space_group_name_Hall '-I 2 2'
_cell_length_a 4.327
_cell_length_b 6.308
_cell_length_c 21.988
_cell_angle_alpha 90.00
_cell_angle_beta 90.00
_cell_angle_gamma 90.00
loop_
_atom_site_label
_atom_site_type_symbol
_atom_site_fract_x
_atom_site_fract_y
_atom_site_fract_z
_atom_site_occupancy
Na1 Na 0.000 0.000 0.104 1
Na2 Na 0.000 0.000 0.294 1
Tl1 Tl 0.000 0.000 0.500 1
Br1 Br 0.000 0.500 0.114 1
Br2 Br 0.000 0.500 0.302 1
Br3 Br 0.000 0.500 0.500 1
```

Output
Total magnetic moment (μB/cell): 0.00
Energy relative to the elements, uncorrected (meV per atom): -1401
V (Å³ per cell): 600.1
Final energy (eV per formula unit): -30.0



Here is a relaxed structure of Na2TlBr2 from Alexandria via LeMat-Bulk. Energies are from PBE.

The structure in CIF format:
```
data_Na2TlBr2
_chemical_formula_sum 'Na4 Tl2 Br4'
_space_group_name_H-M_alt 'P 4/m b m'
_space_group_IT_number 127
_space_group_name_Hall '-P 4 2ab'
_cell_length_a 8.877
_cell_length_b 8.877
_cell_length_c 3.653
_cell_angle_alpha 90.00
_cell_angle_beta 90.00
_cell_angle_gamma 90.00
loop_
_atom_site_label
_atom_site_type_symbol
_atom_site_fract_x
_atom_site_fract_y
_atom_site_fract_z
_atom_site_occupancy
Na1 Na 0.139 0.361 0.000 1
Tl1 Tl 0.000 0.000 0.000 1
Br1 Br 0.153 0.653 0.500 1
```

Output
Total magnetic moment (μB/cell): 0.00
Energy relative to the elements, uncorrected (meV per atom): -890
V (Å³ per cell): 287.8
E above lowest polymorph (eV/atom): 0.083
Final energy (eV per formula unit): -12.8



Here is a relaxed structure of Na2Tl2Br from Alexandria via LeMat-Bulk. Energies are from PBE.

The structure in CIF format:
```
data_Na2Tl2Br
_chemical_formula_sum 'Na4 Tl4 Br2'
_space_group_name_H-M_alt 'P 4/m b m'
_space_group_IT_number 127
_space_group_name_Hall '-P 4 2ab'
_cell_length_a 7.570
_cell_length_b 7.570
_cell_length_c 5.665
_cell_angle_alpha 90.00
_cell_angle_beta 90.00
_cell_angle_gamma 90.00
loop_
_atom_site_label
_atom_site_type_symbol
_atom_site_fract_x
_atom_site_fract_y
_atom_site_fract_z
_atom_site_occupancy
Na1 Na 0.162 0.338 0.000 1
Tl1 Tl 0.145 0.645 0.500 1
Br1 Br 0.000 0.000 0.000 1
```

Output
Total magnetic moment (μB/cell): 0.00
Energy relative to the elements, uncorrected (meV per atom): -401
V (Å³ per cell): 324.6
Final energy (eV per formula unit): -11.1



Here is a relaxed structure of Na2TlBr2 from Alexandria via LeMat-Bulk. Energies are from PBE.

The structure in CIF format:
```
data_Na2TlBr2
_chemical_formula_sum 'Na4 Tl2 Br4'
_space_group_name_H-M_alt 'P 4/m b m'
_space_group_IT_number 127
_space_group_name_Hall '-P 4 2ab'
_cell_length_a 8.706
_cell_length_b 8.706
_cell_length_c 3.823
_cell_angle_alpha 90.00
_cell_angle_beta 90.00
_cell_angle_gamma 90.00
loop_
_atom_site_label
_atom_site_type_symbol
_atom_site_fract_x
_atom_site_fract_y
_atom_site_fract_z
_atom_site_occupancy
Na1 Na 0.153 0.347 0.000 1
Tl1 Tl 0.000 0.000 0.500 1
Br1 Br 0.148 0.648 0.500 1
```

Output
Total magnetic moment (μB/cell): 0.00
Energy relative to the elements, uncorrected (meV per atom): -974
V (Å³ per cell): 289.7
E above lowest polymorph (eV/atom): 0.000
Final energy (eV per formula unit): -13.2



Here is a relaxed structure of NaUTl2Br6 from Alexandria via LeMat-Bulk. Energies are from PBE.

The structure in CIF format:
```
data_NaUTl2Br6
_chemical_formula_sum 'Na2 U2 Tl4 Br12'
_space_group_name_H-M_alt 'P 1 21/c 1'
_space_group_IT_number 14
_cell_length_a 7.748
_cell_length_b 8.247
_cell_length_c 13.467
_cell_angle_alpha 90.00
_cell_angle_beta 123.70
_cell_angle_gamma 90.00
loop_
_space_group_symop_operation_xyz
'x,y,z'
'-x,-y,-z'
'-x,y+1/2,-z+1/2'
'x,-y+1/2,z+1/2'
loop_
_atom_site_label
_atom_site_type_symbol
_atom_site_fract_x
_atom_site_fract_y
_atom_site_fract_z
_atom_site_occupancy
Na1 Na 0.000 0.000 0.000 1
U1 U 0.500 0.000 0.500 1
Tl1 Tl 0.214 0.080 0.743 1
Br1 Br 0.142 0.190 0.447 1
Br2 Br 0.256 0.704 0.441 1
Br3 Br 0.369 0.033 0.252 1
```

Output
Total magnetic moment (μB/cell): 6.00
Energy relative to the elements, uncorrected (meV per atom): -1177
V (Å³ per cell): 715.9
Final energy (eV per formula unit): -39.1



Here is a relaxed structure of Na3Tl3VBr8 from Alexandria via LeMat-Bulk. Energies are from PBE.

The structure in CIF format:
```
data_Na3Tl3VBr8
_chemical_formula_sum 'Na9 Tl9 V3 Br24'
_space_group_name_H-M_alt 'R -3 m'
_space_group_IT_number 166
_space_group_name_Hall '-R 3 2"'
_cell_length_a 8.6653
_cell_length_b 8.6653
_cell_length_c 23.1554
_cell_angle_alpha 90.00
_cell_angle_beta 90.00
_cell_angle_gamma 120.00
loop_
_atom_site_label
_atom_site_type_symbol
_atom_site_fract_x
_atom_site_fract_y
_atom_site_fract_z
_atom_site_occupancy
Na1 Na 0.0000 0.5000 0.0000 1
Tl1 Tl 0.0000 0.5000 0.5000 1
V1 V 0.0000 0.0000 0.0000 1
Br1 Br 0.0000 0.0000 0.2618 1
Br2 Br 0.0363 0.5181 0.7317 1
```

Output
Total magnetic moment (μB/cell): 9.00
Energy relative to the elements, uncorrected (meV per atom): -1111
V (Å³ per cell): 1505.8
Final energy (eV per formula unit): -50.2



Here is a relaxed structure of NaTl2VBr6 from Alexandria via LeMat-Bulk. Energies are from PBE.

The structure in CIF format:
```
data_NaTl2VBr6
_chemical_formula_sum 'Na1 Tl2 V1 Br6'
_space_group_name_H-M_alt 'P -1'
_space_group_IT_number 2
_cell_length_a 7.502
_cell_length_b 7.508
_cell_length_c 7.528
_cell_angle_alpha 62.70
_cell_angle_beta 62.81
_cell_angle_gamma 62.73
loop_
_space_group_symop_operation_xyz
'x,y,z'
'-x,-y,-z'
loop_
_atom_site_label
_atom_site_type_symbol
_atom_site_fract_x
_atom_site_fract_y
_atom_site_fract_z
_atom_site_occupancy
Na1 Na 0.000 0.000 0.000 1
Tl1 Tl 0.266 0.265 0.267 1
V1 V 0.500 0.500 0.500 1
Br1 Br 0.196 0.342 0.712 1
Br2 Br 0.283 0.803 0.658 1
Br3 Br 0.344 0.717 0.196 1
```

Output
Total magnetic moment (μB/cell): 2.00
Energy relative to the elements, uncorrected (meV per atom): -977
V (Å³ per cell): 318.2
Final energy (eV per formula unit): -35.0



Here is a relaxed structure of Na2TlWBr8 from Alexandria via LeMat-Bulk. Energies are from PBE.

The structure in CIF format:
```
data_Na2TlWBr8
_chemical_formula_sum 'Na2 Tl1 W1 Br8'
_space_group_name_H-M_alt 'P 1 2/m 1'
_space_group_IT_number 10
_cell_length_a 6.477
_cell_length_b 9.080
_cell_length_c 6.963
_cell_angle_alpha 90.00
_cell_angle_beta 91.72
_cell_angle_gamma 90.00
loop_
_space_group_symop_operation_xyz
'x,y,z'
'-x,-y,-z'
'-x,y,-z'
'x,-y,z'
loop_
_atom_site_label
_atom_site_type_symbol
_atom_site_fract_x
_atom_site_fract_y
_atom_site_fract_z
_atom_site_occupancy
Na1 Na 0.000 0.249 0.000 1
Tl1 Tl 0.500 0.000 0.500 1
W1 W 0.500 0.500 0.500 1
Br1 Br 0.202 0.000 0.169 1
Br2 Br 0.272 0.500 0.195 1
Br3 Br 0.277 0.302 0.641 1
```

Output
Total magnetic moment (μB/cell): 1.28
Energy relative to the elements, uncorrected (meV per atom): -808
V (Å³ per cell): 409.3
Final energy (eV per formula unit): -41.0



Here is a relaxed structure of NaTlWBr6 from Alexandria via LeMat-Bulk. Energies are from PBE.

The structure in CIF format:
```
data_NaTlWBr6
_chemical_formula_sum 'Na2 Tl2 W2 Br12'
_space_group_name_H-M_alt 'P -3 1 c'
_space_group_IT_number 163
_space_group_name_Hall '-P 3 2c'
_cell_length_a 7.3805
_cell_length_b 7.3805
_cell_length_c 13.5059
_cell_angle_alpha 90.00
_cell_angle_beta 90.00
_cell_angle_gamma 120.00
loop_
_atom_site_label
_atom_site_type_symbol
_atom_site_fract_x
_atom_site_fract_y
_atom_site_fract_z
_atom_site_occupancy
Na1 Na 0.3333 0.6667 0.2500 1
Tl1 Tl 0.0000 0.0000 0.0000 1
W1 W 0.3333 0.6667 0.7500 1
Br1 Br 0.0442 0.3929 0.6397 1
```

Output
Total magnetic moment (μB/cell): 4.00
Energy relative to the elements, uncorrected (meV per atom): -749
V (Å³ per cell): 637.1
Final energy (eV per formula unit): -33.4



Here is a relaxed structure of NaYTl2Br6 from Alexandria via LeMat-Bulk. Energies are from PBE.

The structure in CIF format:
```
data_NaYTl2Br6
_chemical_formula_sum 'Na2 Y2 Tl4 Br12'
_space_group_name_H-M_alt 'P 1 21/c 1'
_space_group_IT_number 14
_cell_length_a 7.676
_cell_length_b 8.139
_cell_length_c 13.381
_cell_angle_alpha 90.00
_cell_angle_beta 124.13
_cell_angle_gamma 90.00
loop_
_space_group_symop_operation_xyz
'x,y,z'
'-x,-y,-z'
'-x,y+1/2,-z+1/2'
'x,-y+1/2,z+1/2'
loop_
_atom_site_label
_atom_site_type_symbol
_atom_site_fract_x
_atom_site_fract_y
_atom_site_fract_z
_atom_site_occupancy
Na1 Na 0.000 0.000 0.000 1
Y1 Y 0.500 0.000 0.500 1
Tl1 Tl 0.218 0.079 0.746 1
Br1 Br 0.153 0.188 0.451 1
Br2 Br 0.263 0.710 0.447 1
Br3 Br 0.363 0.026 0.257 1
```

Output
Total magnetic moment (μB/cell): 0.00
Energy relative to the elements, uncorrected (meV per atom): -1426
V (Å³ per cell): 692.1
Final energy (eV per formula unit): -36.8